No. 1
MgFe2BiPb: relaxed, GGA-PBE.

Its density of states at the Fermi level is 2.02 states/eV/atom. As for the formation energy: 1.048 eV per atom. As for the crystal system: tetragonal.

The space group is P4/mmm (No. 123) and the conventional cell measures 4.994, 4.994 and 5.422 Å, with angles of 90.00, 90.00 and 90.00 degrees. The asymmetric unit holds Mg at (0.000, 0.000, 0.000), Fe at (0.000, 0.500, 0.500), Bi at (0.000, 0.000, 0.500) and Pb at (0.500, 0.500, 0.000).


No. 2
MgFeBiRh2: relaxed, GGA-PBE.

Its density of states at the Fermi level is 1.08 states/eV/atom. As for the formation energy: 0.858 eV per atom. As for the crystal system: tetragonal.

The space group is P4/mmm (No. 123) and the conventional cell measures 4.594, 4.594 and 4.583 Å, with angles of 90.00, 90.00 and 90.00 degrees. The asymmetric unit holds Mg at (0.000, 0.000, 0.000), Fe at (0.000, 0.000, 0.500), Bi at (0.500, 0.500, 0.500) and Rh at (0.000, 0.500, 0.000).


No. 3
MgFe2BiS: relaxed, GGA-PBE.

The uncorrected formation energy is 0.195 eV/atom. Its density of states at the Fermi level is 1.12 states/eV/atom. As for the crystal system: tetragonal.

The space group is P4/mmm (No. 123) and the conventional cell measures 4.236, 4.236 and 4.854 Å, with angles of 90.00, 90.00 and 90.00 degrees. The asymmetric unit holds Mg at (0.000, 0.000, 0.000), Fe at (0.000, 0.500, 0.500), Bi at (0.500, 0.500, 0.000) and S at (0.000, 0.000, 0.500).


No. 4
MnFeBi2: relaxed, GGA-PBE.

Its density of states at the Fermi level is 1.29 states/eV/atom. As for the energy above the lowest structure with this stoichiometry: 0 kJ/mol of formula units. As for the formation energy: 0.661 eV per atom. As for the crystal system: tetragonal.

The space group is I-42d (No. 122) and the conventional cell measures 7.647, 7.647 and 6.475 Å, with angles of 90.00, 90.00 and 90.00 degrees. The asymmetric unit holds Mn at (0.000, 0.000, 0.000), Fe at (0.000, 0.000, 0.500) and Bi at (0.235, 0.750, 0.625).


No. 5
MnFeBi2: relaxed, GGA-PBE.

Its density of states at the Fermi level is 1.34 states/eV/atom. As for the energy above the lowest structure with this stoichiometry: 74 kJ/mol of formula units. As for the formation energy: 0.851 eV per atom. As for the crystal system: cubic.

The space group is Fm-3m (No. 225) and the conventional cell measures 6.623, 6.623 and 6.623 Å, with angles of 90.00, 90.00 and 90.00 degrees. The asymmetric unit holds Mn at (0.000, 0.000, 0.000), Fe at (0.000, 0.000, 0.500) and Bi at (0.250, 0.250, 0.250).


No. 6
MnFeBiMo2: relaxed, GGA-PBE.

Its density of states at the Fermi level is 1.79 states/eV/atom. As for the formation energy: 2.674 eV per atom. As for the crystal system: tetragonal.

The space group is P4/mmm (No. 123) and the conventional cell measures 5.103, 5.103 and 4.846 Å, with angles of 90.00, 90.00 and 90.00 degrees. The asymmetric unit holds Mn at (0.000, 0.000, 0.000), Fe at (0.500, 0.500, 0.000), Bi at (0.000, 0.000, 0.500) and Mo at (0.000, 0.500, 0.500).